Entry 1:
A plane-wave DFT calculation with PBE was carried out for a relaxed structure of SrScBi2H.

a = 6.080 Å, b = 6.080 Å, c = 3.719 Å
α = 90.00°, β = 90.00°, γ = 90.00°
Fractional positions:
Sr: 0.000 0.000 0.000
Sc: 0.500 0.500 0.500
Bi: 0.000 0.500 0.500
Bi: 0.500 0.000 0.500
H: 0.500 0.500 0.000

## Properties
VASP energy = -4.309 eV/atom
space-group type = P4/mmm (123)
DOS at the Fermi energy = 0.35 states/eV per atom
mass density = 6.66 g/cm³
total moment = 0.0 μB per formula unit

Entry 2:
A plane-wave DFT calculation with PBE was carried out for a relaxed structure of GdPuMn.

a = 8.115 Å, b = 8.115 Å, c = 8.115 Å
α = 157.85°, β = 157.85°, γ = 31.53°
Fractional positions:
Gd: 0.000 0.000 0.000
Pu: 0.680 0.680 0.000
Mn: 0.819 0.819 0.000

## Properties
VASP energy = -11.850 eV/atom
space-group type = I4mm (107)
DOS at the Fermi energy = 1.62 states/eV per atom
mass density = 9.98 g/cm³
total moment = 10.0 μB per formula unit

Entry 3:
A plane-wave DFT calculation with PBE was carried out for a relaxed structure of LaPm4Dy2Mg.

a = 9.470 Å, b = 9.470 Å, c = 9.470 Å
α = 137.78°, β = 103.06°, γ = 91.91°
Fractional positions:
La: 0.500 0.000 0.000
La: 0.500 0.500 0.500
Pm: 0.239 0.239 0.001
Pm: 0.250 0.244 0.494
Pm: 0.250 0.755 0.006
Pm: 0.262 0.761 0.501
Pm: 0.738 0.239 0.499
Pm: 0.750 0.245 0.994
Pm: 0.750 0.756 0.506
Pm: 0.761 0.761 0.999
Dy: 0.000 0.000 0.500
Dy: 0.000 0.500 0.000
Dy: 0.000 0.500 0.500
Dy: 0.500 0.500 0.000
Mg: 0.000 0.000 0.000
Mg: 0.500 0.000 0.500

## Properties
VASP energy = -4.017 eV/atom
space-group type = Imma (74)
DOS at the Fermi energy = 1.80 states/eV per atom
mass density = 6.71 g/cm³
total moment = 0.0 μB per formula unit

Entry 4:
A plane-wave DFT calculation with PBE was carried out for a relaxed structure of SnHg2Os.

a = 7.800 Å, b = 7.800 Å, c = 7.800 Å
α = 96.13°, β = 96.13°, γ = 141.84°
Fractional positions:
Sn: 0.375 0.625 0.750
Sn: 0.625 0.375 0.250
Hg: 0.000 0.000 0.000
Hg: 0.000 0.000 0.500
Hg: 0.000 0.500 0.000
Hg: 0.500 0.000 0.500
Os: 0.125 0.875 0.250
Os: 0.875 0.125 0.750

## Properties
VASP energy = -3.373 eV/atom
space-group type = I4_1/amd (141)
DOS at the Fermi energy = 0.71 states/eV per atom
mass density = 8.51 g/cm³
total moment = 0.0 μB per formula unit

Entry 5:
A plane-wave DFT calculation with PBE was carried out for a relaxed structure of Pr4ScPb2.

a = 6.918 Å, b = 6.918 Å, c = 4.832 Å
α = 90.00°, β = 90.00°, γ = 98.45°
Fractional positions:
Pr: 0.000 0.500 0.500
Pr: 0.212 0.212 0.000
Pr: 0.500 0.000 0.500
Pr: 0.788 0.788 0.000
Sc: 0.500 0.500 0.500
Pb: 0.289 0.711 0.000
Pb: 0.711 0.289 0.000

## Properties
VASP energy = -4.994 eV/atom
space-group type = Cmmm (65)
DOS at the Fermi energy = 1.16 states/eV per atom
mass density = 7.43 g/cm³
total moment = 0.0 μB per formula unit

Entry 6:
A plane-wave DFT calculation with PBE was carried out for a relaxed structure of ZnGaIN2.

a = 4.212 Å, b = 4.212 Å, c = 6.087 Å
α = 90.00°, β = 90.00°, γ = 90.00°
Fractional positions:
Zn: 0.000 0.000 0.000
Ga: 0.500 0.500 0.500
I: 0.000 0.000 0.500
N: 0.000 0.500 0.000
N: 0.500 0.000 0.000

## Properties
VASP energy = -3.135 eV/atom
space-group type = P4/mmm (123)
DOS at the Fermi energy = 0.32 states/eV per atom
energy above the most stable polymorph in this dataset = 1.01 eV per formula unit
mass density = 4.46 g/cm³
raw formation energy = 131.7 kJ/mol of atoms
total moment = 3.7 μB per formula unit

Entry 7:
A plane-wave DFT calculation with PBE was carried out for a relaxed structure of KBeAg4.

a = 5.653 Å, b = 5.653 Å, c = 5.653 Å
α = 60.00°, β = 60.00°, γ = 60.00°
Fractional positions:
K: 0.000 0.000 0.000
Be: 0.250 0.250 0.250
Ag: 0.127 0.624 0.624
Ag: 0.624 0.127 0.624
Ag: 0.624 0.624 0.127
Ag: 0.624 0.624 0.624

## Properties
VASP energy = -2.305 eV/atom
space-group type = F-43m (216)
DOS at the Fermi energy = 0.50 states/eV per atom
mass density = 6.24 g/cm³
total moment = 0.0 μB per formula unit

Entry 8:
A plane-wave DFT calculation with PBE was carried out for a relaxed structure of FeCo8Ni6.

a = 6.558 Å, b = 6.558 Å, c = 4.779 Å
α = 90.00°, β = 90.00°, γ = 120.00°
Fractional positions:
Fe: 0.000 0.000 0.000
Co: 0.057 0.382 0.108
Co: 0.325 0.943 0.108
Co: 0.333 0.667 0.736
Co: 0.382 0.325 0.892
Co: 0.618 0.675 0.108
Co: 0.667 0.333 0.264
Co: 0.675 0.057 0.892
Co: 0.943 0.618 0.892
Ni: 0.021 0.681 0.394
Ni: 0.319 0.339 0.394
Ni: 0.339 0.021 0.606
Ni: 0.661 0.979 0.394
Ni: 0.681 0.661 0.606
Ni: 0.979 0.319 0.606

## Properties
VASP energy = -6.432 eV/atom
space-group type = P-3 (147)
DOS at the Fermi energy = 1.04 states/eV per atom
mass density = 8.20 g/cm³
total moment = 20.1 μB per formula unit